Below is an optimized crystal structure of HoAgPd14, with properties calculated at the PBE level.

Cell and atoms, written as extended XYZ:
```
16
Lattice="5.650 0.000 0.000 0.000 5.650 0.000 0.000 0.000 8.050" Properties=species:S:1:pos:R:3 pbc="T T T"
Ho 0.000 0.000 0.000
Ag 2.825 2.825 0.000
Pd 0.000 0.000 4.025
Pd 0.000 2.825 0.000
Pd 0.000 2.825 4.025
Pd 1.417 1.417 2.055
Pd 1.417 1.417 5.995
Pd 1.417 4.233 2.055
Pd 1.417 4.233 5.995
Pd 2.825 0.000 0.000
Pd 2.825 0.000 4.025
Pd 2.825 2.825 4.025
Pd 4.233 1.417 2.055
Pd 4.233 1.417 5.995
Pd 4.233 4.233 2.055
Pd 4.233 4.233 5.995
```

Results
ΔH_f (0 K): -0.21 eV/atom
Total magnetization: 0.00 μB per formula unit
Volume: 16.1 A^3/atom